VASP calculation (PBE) on an optimized crystal structure of CeSmThSc.

Computed properties:
The energy of formation from the pure elements comes out at 23.1 kJ/mol of formula units. The calculation puts the energy above the most stable polymorph in this dataset at 0.000 eV/atom. The density of states at the Fermi level is 7.51 states/eV/f.u.

abc: 3.5003 3.5005 11.3680
angles: 90.01 98.87 119.99
Last column: nearest neighbours and their distance in Å.
Sites, in units of the cell vectors:
Ce (0.4729, 0.1338, 0.6233)  3 Th 3.45, 6 Ce 3.50, 3 Sm 3.56
Sm (0.9657, 0.3815, 0.3615)  3 Sc 3.45, 6 Sm 3.50, 3 Ce 3.56
Th (0.3064, 0.5508, 0.8729)  3 Sc 3.35, 3 Ce 3.45, 6 Th 3.50
Sc (0.1330, 0.9648, 0.1120)  3 Th 3.35, 3 Sm 3.45, 6 Sc 3.50



VASP calculation (PBE) on an optimized crystal structure of CdPtCl6.

Computed properties:
Its uncorrected formation energy is -0.60 eV/atom. The calculation puts the energy above the most stable polymorph in this dataset at 0.023 eV/atom.

abc: 6.2578 6.2571 6.7389
angles: 62.33 62.33 60.00
Last column: nearest neighbours and their distance in Å.
Sites, in units of the cell vectors:
Cd (0.5000, 0.5000, 0.5000)  6 Cl 2.70
Pt (0.0000, 0.0000, 0.0000)  6 Cl 2.36
Cl (0.0620, 0.3960, 0.7631)  1 Pt 2.36
Cl (0.7789, 0.0620, 0.7631)  1 Pt 2.36
Cl (0.6040, 0.2211, 0.2368)  1 Pt 2.36
Cl (0.2211, 0.9380, 0.2369)  1 Pt 2.36
Cl (0.9380, 0.6040, 0.2369)  1 Pt 2.36
Cl (0.3960, 0.7789, 0.7632)  1 Pt 2.36